1.
ZnBMo (GGA-PBE, relaxed); E_tot = -15.5 eV per cell
1.0
0.000 2.790 2.790
2.790 0.000 2.790
2.790 2.790 0.000
Mo Zn B
1 1 1
Direct
0.000 0.000 0.000
0.750 0.750 0.750
0.250 0.250 0.250

2.
GdCdHg (GGA-PBE, relaxed); formation enthalpy at 0 K = -0.01 eV/atom
1.0
-2.170 -4.430 -0.899
-3.977 -1.436 2.695
-4.536 -0.184 -2.128
Cd Hg Gd
1 1 1
Direct
0.250 0.250 0.250
0.750 0.750 0.750
0.000 0.000 0.000

3.
HoEr2Co7Ni2 (GGA-PBE, relaxed); formation enthalpy at 0 K = -0.25 eV/atom
1.0
2.450 1.415 8.138
-2.450 1.415 8.138
0.000 -2.829 8.138
Co Ni Er Ho
7 2 2 1
Direct
0.500 0.500 0.500
0.417 0.417 0.919
0.081 0.583 0.583
0.919 0.417 0.417
0.583 0.081 0.583
0.583 0.583 0.081
0.417 0.919 0.417
0.334 0.334 0.334
0.666 0.666 0.666
0.140 0.140 0.140
0.860 0.860 0.860
0.000 0.000 0.000

4.
BaNaTeIr (GGA-PBE, relaxed); E above lowest polymorph = 153 meV/atom
1.0
-5.220 -0.756 -1.508
-3.683 3.994 0.766
-2.032 2.721 -4.309
Ir Ba Te Na
1 1 1 1
Direct
0.000 0.000 0.000
0.250 0.250 0.250
0.500 0.500 0.500
0.750 0.750 0.750

5.
DySbN2O (GGA-PBE, relaxed); E_tot = -70.6 eV per cell
1.0
3.581 0.000 0.000
0.000 6.394 0.000
0.000 0.000 5.899
O N Dy Sb
2 4 2 2
Direct
0.500 0.610 0.959
0.500 0.390 0.459
0.500 0.893 0.583
0.500 0.107 0.083
0.000 0.305 0.793
0.000 0.695 0.293
0.000 0.348 0.188
0.000 0.652 0.688
0.500 0.173 0.727
0.500 0.827 0.227

6.
Ba2Tm (GGA-PBE, relaxed); E above lowest polymorph = 0 meV/atom
1.0
2.728 -1.943 7.423
-3.308 -0.542 7.422
-0.400 -1.732 -7.947
Ba Tm
2 1
Direct
0.649 0.649 0.000
0.351 0.351 0.000
0.000 0.000 0.000

7.
CuGe2Sb (GGA-PBE, relaxed); E_tot = -15.6 eV per cell
1.0
0.000 3.385 3.385
3.385 0.000 3.385
3.385 3.385 0.000
Ge Cu Sb
2 1 1
Direct
0.750 0.750 0.750
0.000 0.000 0.000
0.250 0.250 0.250
0.500 0.500 0.500

8.
NaSmZr (GGA-PBE, relaxed); E above lowest polymorph = 0 meV/atom
1.0
0.000 3.707 3.707
3.707 0.000 3.707
3.707 3.707 0.000
Zr Na Sm
1 1 1
Direct
0.000 0.000 0.000
0.250 0.250 0.250
0.750 0.750 0.750

9.
BeAsPtO (GGA-PBE, relaxed); E above lowest polymorph = 176 meV/atom
1.0
2.855 0.000 0.000
0.000 6.790 0.000
0.000 0.000 6.267
Be O Pt As
2 2 2 2
Direct
0.000 0.301 0.523
0.000 0.699 0.023
0.500 0.770 0.060
0.500 0.230 0.560
0.500 0.083 0.068
0.500 0.917 0.568
0.000 0.639 0.595
0.000 0.361 0.095

10.
Sm3Ni4P4 (GGA-PBE, relaxed); E_tot = -69.9 eV per cell
1.0
-0.314 -0.617 3.827
1.016 -2.917 -2.363
13.837 3.448 1.692
Sm Ni P
3 4 4
Direct
0.000 0.000 0.000
0.000 0.000 0.721
0.000 0.000 0.279
0.667 0.333 0.860
0.333 0.667 0.140
0.333 0.667 0.559
0.667 0.333 0.441
0.667 0.333 0.139
0.333 0.667 0.404
0.667 0.333 0.596
0.333 0.667 0.861

11.
Ta2InGaNi2 (GGA-PBE, relaxed); E_tot = -166.4 eV per cell
1.0
-9.270 0.524 4.137
-0.843 -3.806 -1.407
6.524 -3.943 6.754
In Ta Ga Ni
4 8 4 8
Direct
0.625 0.500 0.626
0.001 0.000 0.752
0.373 0.500 0.877
0.876 0.500 0.373
0.877 0.500 0.885
0.129 0.500 0.619
0.371 0.500 0.371
0.501 0.000 0.750
0.004 0.000 0.248
0.744 0.000 0.494
0.623 0.500 0.125
0.251 0.000 0.010
0.251 0.000 0.498
0.125 0.500 0.126
0.499 0.000 0.250
0.750 0.000 0.002
0.631 0.500 0.882
0.002 0.000 0.008
0.130 0.500 0.372
0.374 0.500 0.131
0.493 0.000 0.493
0.744 0.000 0.243
0.251 0.000 0.743
0.874 0.500 0.624

12.
LaAlGaAu2 (GGA-PBE, relaxed); E above lowest polymorph = 4 meV/atom
1.0
4.510 0.000 0.000
0.000 4.510 0.000
0.000 0.000 10.437
La Ga Al Au
2 2 2 4
Direct
0.500 0.000 0.254
0.000 0.500 0.746
0.000 0.000 0.500
0.500 0.500 0.500
0.000 0.500 0.125
0.500 0.000 0.875
0.000 0.500 0.366
0.000 0.000 0.000
0.500 0.500 0.000
0.500 0.000 0.634

Copy entry 2 word for word.
GdCdHg (GGA-PBE, relaxed); formation enthalpy at 0 K = -0.01 eV/atom
1.0
-2.170 -4.430 -0.899
-3.977 -1.436 2.695
-4.536 -0.184 -2.128
Cd Hg Gd
1 1 1
Direct
0.250 0.250 0.250
0.750 0.750 0.750
0.000 0.000 0.000